The following is a PBE calculation of crystalline Pr7TlSn5 at its relaxed geometry, from Alexandria.

Computed properties:
Spin magnetization = 0.00 μB/f.u.
DOS(E_F) = 14.0 states/eV/f.u.
Volume = 412 Å³/f.u.

Cell and atoms, written as CIF:
```
data_Pr7TlSn5
_cell_length_a 6.469
_cell_length_b 8.620
_cell_length_c 8.620
_cell_angle_alpha 84.71
_cell_angle_beta 67.96
_cell_angle_gamma 67.96
_symmetry_space_group_name_H-M 'P 1'
_symmetry_Int_Tables_number 1
loop_
_symmetry_equiv_pos_as_xyz
'x,y,z'
loop_
_atom_site_label
_atom_site_type_symbol
_atom_site_fract_x
_atom_site_fract_y
_atom_site_fract_z
_atom_site_occupancy
Pr1 Pr 0.635 0.365 0.365 1
Pr2 Pr 0.256 0.744 0.744 1
Pr3 Pr 0.006 0.326 0.662 1
Pr4 Pr 0.006 0.662 0.326 1
Pr5 Pr 0.286 0.214 0.214 1
Pr6 Pr 0.525 0.811 0.140 1
Pr7 Pr 0.525 0.140 0.811 1
Tl1 Tl 0.952 0.048 0.048 1
Sn1 Sn 0.509 0.997 0.482 1
Sn2 Sn 0.011 0.997 0.482 1
Sn3 Sn 0.509 0.482 0.997 1
Sn4 Sn 0.011 0.482 0.997 1
Sn5 Sn 0.768 0.732 0.732 1
```

---

The following is a PBE calculation of crystalline MgHg2B at its relaxed geometry, from Alexandria.

Computed properties:
Spin magnetization = 0.00 μB/f.u.
DOS(E_F) = 1.7 states/eV/f.u.
Volume = 95 Å³/f.u.

Cell and atoms, written as CIF:
```
data_MgHg2B
_cell_length_a 5.354
_cell_length_b 5.354
_cell_length_c 7.614
_cell_angle_alpha 69.41
_cell_angle_beta 69.41
_cell_angle_gamma 90.00
_symmetry_space_group_name_H-M 'P 1'
_symmetry_Int_Tables_number 1
loop_
_symmetry_equiv_pos_as_xyz
'x,y,z'
loop_
_atom_site_label
_atom_site_type_symbol
_atom_site_fract_x
_atom_site_fract_y
_atom_site_fract_z
_atom_site_occupancy
Mg1 Mg 0.000 0.000 0.000 1
Mg2 Mg 0.750 0.250 0.500 1
B1 B 0.500 0.500 0.000 1
B2 B 0.250 0.750 0.500 1
Hg1 Hg 0.515 0.125 0.250 1
Hg2 Hg 0.235 0.625 0.250 1
Hg3 Hg 0.375 0.485 0.750 1
Hg4 Hg 0.875 0.765 0.750 1
```

---

Number 1: ΔE_f -0.482 eV per atom. Number 2: ΔE_f 0.649 eV per atom.